Entry from Alexandria: a relaxed Ba2CrRh crystal (PBE).

Summary:
- energy (eV/atom) = -4.785
- energy of formation from the pure elements (eV per atom) = 0.420
- polymorph energy (0 for the lowest one) (meV/atom) = 235.4
- volume (Å³/f.u.) = 126.5
- M_tot (μB per formula unit) = 5.09

abc: 3.861 3.861 8.488
angles: 90.00 90.00 90.00
Space group P4/mmm (No. 123)
One atom of each set of equivalent atoms:
Ba 0.000 0.000 0.216 (multiplicity 2)
Cr 0.500 0.500 0.500 (multiplicity 1)
Rh 0.500 0.500 0.000 (multiplicity 1)



Entry from Alexandria: a relaxed BaCrSbRh2 crystal (PBE).

Summary:
- energy (eV/atom) = -4.303
- volume (Å³/f.u.) = 161.6
- M_tot (μB per formula unit) = 3.19
- E_form (uncorrected) (eV/atom) = 1.771

abc: 5.048 5.048 6.343
angles: 90.00 90.00 90.00
Space group P4/mmm (No. 123)
One atom of each set of equivalent atoms:
Ba 0.000 0.000 0.000 (multiplicity 1)
Cr 0.500 0.500 0.500 (multiplicity 1)
Sb 0.000 0.000 0.500 (multiplicity 1)
Rh 0.000 0.500 0.000 (multiplicity 2)



- Number 2 is which compound?
  BaCrSbRh2



Please write out number 1 again, unchanged.
Entry from Alexandria: a relaxed Ba2CrRh crystal (PBE).

Summary:
- energy (eV/atom) = -4.785
- energy of formation from the pure elements (eV per atom) = 0.420
- polymorph energy (0 for the lowest one) (meV/atom) = 235.4
- volume (Å³/f.u.) = 126.5
- M_tot (μB per formula unit) = 5.09

abc: 3.861 3.861 8.488
angles: 90.00 90.00 90.00
Space group P4/mmm (No. 123)
One atom of each set of equivalent atoms:
Ba 0.000 0.000 0.216 (multiplicity 2)
Cr 0.500 0.500 0.500 (multiplicity 1)
Rh 0.500 0.500 0.000 (multiplicity 1)



What did the second record say?
Entry from Alexandria: a relaxed BaCrSbRh2 crystal (PBE).

Summary:
- energy (eV/atom) = -4.303
- volume (Å³/f.u.) = 161.6
- M_tot (μB per formula unit) = 3.19
- E_form (uncorrected) (eV/atom) = 1.771

abc: 5.048 5.048 6.343
angles: 90.00 90.00 90.00
Space group P4/mmm (No. 123)
One atom of each set of equivalent atoms:
Ba 0.000 0.000 0.000 (multiplicity 1)
Cr 0.500 0.500 0.500 (multiplicity 1)
Sb 0.000 0.000 0.500 (multiplicity 1)
Rh 0.000 0.500 0.000 (multiplicity 2)



What did the first record say?
Entry from Alexandria: a relaxed Ba2CrRh crystal (PBE).

Summary:
- energy (eV/atom) = -4.785
- energy of formation from the pure elements (eV per atom) = 0.420
- polymorph energy (0 for the lowest one) (meV/atom) = 235.4
- volume (Å³/f.u.) = 126.5
- M_tot (μB per formula unit) = 5.09

abc: 3.861 3.861 8.488
angles: 90.00 90.00 90.00
Space group P4/mmm (No. 123)
One atom of each set of equivalent atoms:
Ba 0.000 0.000 0.216 (multiplicity 2)
Cr 0.500 0.500 0.500 (multiplicity 1)
Rh 0.500 0.500 0.000 (multiplicity 1)